No. 1
{
  "formula": "Ba2CuSi",
  "functional": "PBE",
  "state": "relaxed",
  "formation_energy_uncorrected_ev_per_atom": 0.12,
  "mass_density_g_cm3": 3.940,
  "lattice_angstrom": [[4.801, 0.000, 0.000], [0.000, 4.801, 0.000], [0.000, 0.000, 6.698]],
  "species": ["Ba", "Ba", "Cu", "Si"],
  "frac_coords": [[0.000, 0.000, 0.876], [0.500, 0.500, 0.374], [0.000, 0.000, 0.377], [0.500, 0.500, 0.874]]
}

No. 2
{
  "formula": "Zr3BeS",
  "functional": "PBE",
  "state": "relaxed",
  "de_polymorph_ev_per_atom": 0.000,
  "formation_energy_uncorrected_ev_per_atom": -0.11,
  "mass_density_g_cm3": 4.794,
  "lattice_angstrom": [[4.777, 0.000, 0.000], [0.000, 4.777, 0.000], [0.000, 0.000, 4.777]],
  "species": ["Be", "S", "Zr", "Zr", "Zr"],
  "frac_coords": [[0.500, 0.500, 0.500], [0.000, 0.000, 0.000], [0.000, 0.500, 0.000], [0.000, 0.000, 0.500], [0.500, 0.000, 0.000]]
}

No. 3
{
  "formula": "NbV4Os",
  "functional": "PBE",
  "state": "relaxed",
  "ef_mev_per_atom": -65,
  "de_polymorph_ev_per_atom": 0.011,
  "mass_density_g_cm3": 9.400,
  "lattice_angstrom": [[-1.197, -4.498, 1.698], [3.249, -2.566, 2.722], [-0.816, -0.685, 4.839]],
  "species": ["Nb", "Os", "V", "V", "V", "V"],
  "frac_coords": [[0.250, 0.250, 0.250], [0.000, 0.000, 0.000], [0.625, 0.625, 0.124], [0.625, 0.124, 0.625], [0.625, 0.625, 0.625], [0.124, 0.625, 0.625]]
}

No. 4
{
  "formula": "Pa2CuC",
  "functional": "PBE",
  "state": "relaxed",
  "ef_mev_per_atom": 192,
  "de_polymorph_ev_per_atom": 0.126,
  "mass_density_g_cm3": 11.344,
  "lattice_angstrom": [[-0.626, 1.095, -2.956], [-2.734, -0.826, -1.474], [-5.109, 7.130, 1.977]],
  "species": ["C", "Pa", "Pa", "Cu"],
  "frac_coords": [[0.500, 0.500, 0.500], [0.109, 0.109, 0.673], [0.891, 0.891, 0.327], [0.000, 0.000, 0.000]]
}